*A*
DFT (PBE) results for TaCoAsSe2 after structural relaxation.

Cell lengths 4.975, 4.975, 5.070 Å; angles 90.00, 90.00, 90.00 degrees
Last column: magnetic moment on the atom in μB.
Positions (direct):
Se 0.000 0.500 0.000  0.05
Co 0.500 0.500 0.500  2.26
Se 0.500 0.000 0.000  0.05
Ta 0.000 0.000 0.000  0.05
As 0.000 0.000 0.500  -0.01

total magnetization = 2.6 μB per formula unit
DOS at the Fermi energy = 1.577 states/eV per atom

---

*B*
DFT (PBE) results for TaCoAsSe2 after structural relaxation.

Cell lengths 4.597, 4.597, 4.458 Å; angles 90.00, 90.00, 90.00 degrees
Positions (direct):
As 0.000 0.000 0.500
Se 0.000 0.500 0.000
Co 0.000 0.000 0.000
Ta 0.500 0.500 0.500
Se 0.500 0.000 0.000

total magnetization = 0.0 μB per formula unit
DOS at the Fermi energy = 1.081 states/eV per atom

---

Most stable of them? *A*.